{"formula": "Pr6NiRu2Br3", "functional": "GGA-PBE", "state": "relaxed", "space_group": "C2/m (12)", "raw_formation_energy_mev_per_atom": -807, "lattice": [[3.5490, -6.1466, 0.0000], [3.5490, 6.1466, 0.0000], [-2.3651, 0.0000, 7.9485]], "species": ["Pr", "Pr", "Pr", "Pr", "Pr", "Pr", "Ni", "Ru", "Ru", "Br", "Br", "Br"], "frac_coords": [[0.0986, 0.4344, 0.8032], [0.2297, 0.2297, 0.1967], [0.4344, 0.0986, 0.8032], [0.5656, 0.9014, 0.1968], [0.7703, 0.7703, 0.8033], [0.9014, 0.5656, 0.1968], [0.5000, 0.5000, 0.0000], [0.1665, 0.8335, 0.0000], [0.8335, 0.1665, 0.0000], [0.0000, 0.0000, 0.5000], [0.3315, 0.6685, 0.5000], [0.6685, 0.3315, 0.5000]]}

***

{"formula": "ZrHg2Ir", "functional": "GGA-PBE", "state": "relaxed", "space_group": "P4/mmm (123)", "relative_energy_kj_per_mol_fu": 72, "lattice": [[4.0415, 0.0000, 0.0000], [0.0000, 4.0415, 0.0000], [0.0000, 0.0000, 4.8287]], "species": ["Zr", "Hg", "Hg", "Ir"], "frac_coords": [[0.0000, 0.0000, 0.0000], [0.0000, 0.5000, 0.5000], [0.5000, 0.0000, 0.5000], [0.5000, 0.5000, 0.0000]]}

***

{"formula": "La2Hf4Nb", "functional": "GGA-PBE", "state": "relaxed", "space_group": "I4/mmm (139)", "total_energy_ev_per_cell": -54.28, "lattice": [[-2.5504, 2.5504, 8.1763], [2.5504, -2.5504, 8.1763], [2.5504, 2.5504, -8.1763]], "species": ["La", "La", "Hf", "Hf", "Hf", "Hf", "Nb"], "frac_coords": [[0.1389, 0.1389, 0.0000], [0.8611, 0.8611, 0.0000], [0.0000, 0.5000, 0.5000], [0.3429, 0.3429, 0.0000], [0.5000, 0.0000, 0.5000], [0.6571, 0.6571, 0.0000], [0.5000, 0.5000, 0.0000]]}

***

{"formula": "MnBeRe2", "functional": "GGA-PBE", "state": "relaxed", "space_group": "R-3m (166)", "total_energy_ev_per_cell": -37.22, "lattice": [[1.3436, 0.7757, 8.2256], [-1.3436, 0.7757, 8.2256], [0.0000, -1.5515, 8.2256]], "species": ["Mn", "Be", "Re", "Re"], "frac_coords": [[0.0000, 0.0000, 0.0000], [0.5000, 0.5000, 0.5000], [0.2490, 0.2490, 0.2490], [0.7510, 0.7510, 0.7510]]}

***

{"formula": "Cs3AgF4", "functional": "GGA-PBE", "state": "relaxed", "space_group": "Immm (71)", "relative_energy_kj_per_mol_fu": 0, "raw_formation_energy_mev_per_atom": -2226, "lattice": [[-2.0762, 3.5182, 7.0353], [2.0762, -3.5182, 7.0353], [2.0762, 3.5182, -7.0353]], "species": ["Cs", "Cs", "Cs", "Ag", "F", "F", "F", "F"], "frac_coords": [[0.0000, 0.0000, 0.0000], [0.2851, 0.7851, 0.5000], [0.7149, 0.2149, 0.5000], [0.5000, 0.5000, 0.0000], [0.1423, 0.3816, 0.7607], [0.3791, 0.6184, 0.7607], [0.6209, 0.3816, 0.2393], [0.8577, 0.6184, 0.2393]]}

***

{"formula": "CuOsRu4", "functional": "GGA-PBE", "state": "relaxed", "space_group": "F-43m (216)", "total_energy_ev_per_cell": -48.03, "lattice": [[0.0000, 3.5443, 3.5443], [3.5443, 0.0000, 3.5443], [3.5443, 3.5443, 0.0000]], "species": ["Cu", "Os", "Ru", "Ru", "Ru", "Ru"], "frac_coords": [[0.0000, 0.0000, 0.0000], [0.7500, 0.7500, 0.7500], [0.3749, 0.3749, 0.3749], [0.3749, 0.3749, 0.8753], [0.3749, 0.8753, 0.3749], [0.8753, 0.3749, 0.3749]]}

***

{"formula": "La2Al4SnPt3", "functional": "GGA-PBE", "state": "relaxed", "space_group": "P-4m2 (115)", "total_energy_ev_per_cell": -56.70, "lattice": [[4.3808, 0.0000, 0.0000], [0.0000, 4.3808, 0.0000], [0.0000, 0.0000, 10.7265]], "species": ["La", "La", "Al", "Al", "Al", "Al", "Sn", "Pt", "Pt", "Pt"], "frac_coords": [[0.0000, 0.5000, 0.2415], [0.5000, 0.0000, 0.7585], [0.0000, 0.0000, 0.0000], [0.0000, 0.5000, 0.6482], [0.5000, 0.0000, 0.3518], [0.5000, 0.5000, 0.0000], [0.0000, 0.0000, 0.5000], [0.0000, 0.5000, 0.8772], [0.5000, 0.0000, 0.1228], [0.5000, 0.5000, 0.5000]]}

***

{"formula": "CoReTe2", "functional": "GGA-PBE", "state": "relaxed", "space_group": "C2/m (12)", "relative_energy_kj_per_mol_fu": 197, "raw_formation_energy_mev_per_atom": 623, "lattice": [[4.0397, -1.6613, 0.0000], [4.0397, 1.6613, 0.0000], [-1.1867, 0.0000, 5.5787]], "species": ["Co", "Re", "Te", "Te"], "frac_coords": [[0.0000, 0.0000, 0.0000], [0.5000, 0.5000, 0.5000], [0.2421, 0.2421, 0.7505], [0.7579, 0.7579, 0.2495]]}

***

{"formula": "Ac2CdSn", "functional": "GGA-PBE", "state": "relaxed", "space_group": "P2_1/m (11)", "relative_energy_kj_per_mol_fu": 0, "lattice": [[6.6846, 0.0000, 0.0000], [0.0000, 4.6811, 0.0000], [-3.1184, 0.0000, 9.0914]], "species": ["Ac", "Ac", "Ac", "Ac", "Cd", "Cd", "Sn", "Sn"], "frac_coords": [[0.2058, 0.2500, 0.4241], [0.2845, 0.7500, 0.0651], [0.7155, 0.2500, 0.9349], [0.7942, 0.7500, 0.5759], [0.1457, 0.2500, 0.7865], [0.8543, 0.7500, 0.2135], [0.3717, 0.7500, 0.7077], [0.6283, 0.2500, 0.2923]]}

***

{"formula": "LaPm7Tm12", "functional": "GGA-PBE", "state": "relaxed", "space_group": "Im-3m (229)", "relative_energy_kj_per_mol_fu": 807, "lattice": [[-5.6080, 5.6080, 5.6080], [5.6080, -5.6080, 5.6080], [5.6080, 5.6080, -5.6080]], "species": ["La", "Pm", "Pm", "Pm", "Pm", "Pm", "Pm", "Pm", "Tm", "Tm", "Tm", "Tm", "Tm", "Tm", "Tm", "Tm", "Tm", "Tm", "Tm", "Tm"], "frac_coords": [[0.0000, 0.0000, 0.0000], [0.0000, 0.0000, 0.5000], [0.0000, 0.5000, 0.0000], [0.0000, 0.5000, 0.5000], [0.5000, 0.0000, 0.0000], [0.5000, 0.0000, 0.5000], [0.5000, 0.5000, 0.0000], [0.5000, 0.5000, 0.5000], [0.0000, 0.2529, 0.7471], [0.0000, 0.7471, 0.2529], [0.2529, 0.0000, 0.7471], [0.2529, 0.2529, 0.5058], [0.2529, 0.5058, 0.2529], [0.2529, 0.7471, 0.0000], [0.4942, 0.7471, 0.7471], [0.5058, 0.2529, 0.2529], [0.7471, 0.0000, 0.2529], [0.7471, 0.2529, 0.0000], [0.7471, 0.4942, 0.7471], [0.7471, 0.7471, 0.4942]]}

***

{"formula": "NaNpS2", "functional": "GGA-PBE", "state": "relaxed", "space_group": "R3m (160)", "raw_formation_energy_mev_per_atom": -1323, "lattice": [[1.9895, 1.1487, 6.9164], [-1.9895, 1.1487, 6.9164], [0.0000, -2.2973, 6.9164]], "species": ["Na", "Np", "S", "S"], "frac_coords": [[0.0000, 0.0000, 0.0000], [0.1723, 0.1723, 0.1723], [0.5792, 0.5792, 0.5792], [0.7652, 0.7652, 0.7652]]}

***

{"formula": "MgC3", "functional": "GGA-PBE", "state": "relaxed", "space_group": "P4/mmm (123)", "relative_energy_kj_per_mol_fu": 488, "lattice": [[3.0831, 0.0000, 0.0000], [0.0000, 3.0831, 0.0000], [0.0000, 0.0000, 4.3973]], "species": ["Mg", "C", "C", "C"], "frac_coords": [[0.0000, 0.0000, 0.0000], [0.0000, 0.0000, 0.5000], [0.5000, 0.5000, 0.3496], [0.5000, 0.5000, 0.6504]]}